The following is a PBE calculation of a geometry-optimized NdLuTlAg structure, from Alexandria via LeMat-Bulk.

Properties
Space group ... F-43m
Calculated formation energy ... -29.9 kJ/mol of atoms

a b c (Å): 5.306 5.306 5.306
angles (deg): 60.00 60.00 60.00
Positions (direct):
Nd (0.000, 0.000, 0.000)
Lu (0.500, 0.500, 0.500)
Tl (0.250, 0.250, 0.250)
Ag (0.750, 0.750, 0.750)

=====

The following is a PBE calculation of a geometry-optimized Na12AgAu6 structure, from Alexandria via LeMat-Bulk.

Properties
Space group ... R-3
Calculated formation energy ... -20.9 kJ/mol of atoms
Offset from the most stable computed form ... 0 meV/atom

a b c (Å): 7.697 7.697 7.697
angles (deg): 88.71 88.71 88.71
Positions (direct):
Na (0.028, 0.313, 0.919)
Na (0.081, 0.972, 0.687)
Na (0.123, 0.356, 0.476)
Na (0.313, 0.919, 0.028)
Na (0.356, 0.476, 0.123)
Na (0.476, 0.123, 0.356)
Na (0.524, 0.877, 0.644)
Na (0.644, 0.524, 0.877)
Na (0.687, 0.081, 0.972)
Na (0.877, 0.644, 0.524)
Na (0.919, 0.028, 0.313)
Na (0.972, 0.687, 0.081)
Ag (0.500, 0.500, 0.500)
Au (0.239, 0.613, 0.760)
Au (0.240, 0.761, 0.387)
Au (0.387, 0.240, 0.761)
Au (0.613, 0.760, 0.239)
Au (0.760, 0.239, 0.613)
Au (0.761, 0.387, 0.240)

=====

The following is a PBE calculation of a geometry-optimized PmNd2Sn6 structure, from Alexandria via LeMat-Bulk.

Properties
Space group ... C2/m
Calculated formation energy ... -45.7 kJ/mol of atoms

a b c (Å): 9.275 9.275 4.538
angles (deg): 104.05 104.05 46.06
Positions (direct):
Pm (0.000, 0.000, 0.000)
Nd (0.379, 0.379, 0.880)
Nd (0.621, 0.621, 0.120)
Sn (0.017, 0.609, 0.313)
Sn (0.294, 0.706, 0.500)
Sn (0.391, 0.983, 0.687)
Sn (0.609, 0.017, 0.313)
Sn (0.706, 0.294, 0.500)
Sn (0.983, 0.391, 0.687)

=====

The following is a PBE calculation of a geometry-optimized Li3Mg structure, from Alexandria via LeMat-Bulk.

Properties
Space group ... P6_3/mmc
Calculated formation energy ... 8.4 kJ/mol of atoms

a b c (Å): 4.940 4.940 8.573
angles (deg): 90.00 90.00 120.00
Positions (direct):
Li (0.000, 0.000, 0.250)
Li (0.000, 0.000, 0.750)
Li (0.333, 0.667, 0.086)
Li (0.333, 0.667, 0.414)
Li (0.667, 0.333, 0.586)
Li (0.667, 0.333, 0.914)
Mg (0.333, 0.667, 0.750)
Mg (0.667, 0.333, 0.250)

=====

The following is a PBE calculation of a geometry-optimized SiMoCl2 structure, from Alexandria via LeMat-Bulk.

Properties
ΔE_f (raw) ... 35 meV per atom
Space group ... Cmm2
Offset from the most stable computed form ... 374 meV/atom

a b c (Å): 3.292 3.292 9.474
angles (deg): 90.00 90.00 126.32
Positions (direct):
Si (0.000, 0.000, 0.000)
Mo (0.500, 0.500, 0.789)
Cl (0.000, 0.000, 0.590)
Cl (0.500, 0.500, 0.197)

=====

The following is a PBE calculation of a geometry-optimized ZnCdGa3 structure, from Alexandria via LeMat-Bulk.

Properties
Space group ... R-3
Calculated formation energy ... 8.1 kJ/mol of atoms
Offset from the most stable computed form ... 22 meV/atom

a b c (Å): 9.631 9.631 9.631
angles (deg): 30.70 30.70 30.70
Positions (direct):
Zn (0.170, 0.170, 0.170)
Zn (0.830, 0.830, 0.830)
Cd (0.328, 0.328, 0.328)
Cd (0.672, 0.672, 0.672)
Ga (0.113, 0.403, 0.753)
Ga (0.247, 0.887, 0.597)
Ga (0.403, 0.753, 0.113)
Ga (0.597, 0.247, 0.887)
Ga (0.753, 0.113, 0.403)
Ga (0.887, 0.597, 0.247)

=====

The following is a PBE calculation of a geometry-optimized Fe3BiBr structure, from Alexandria via LeMat-Bulk.

Properties
ΔE_f (raw) ... 1067 meV per atom
Space group ... Pm-3m
Offset from the most stable computed form ... 0 meV/atom

a b c (Å): 4.561 4.561 4.561
angles (deg): 90.00 90.00 90.00
Positions (direct):
Fe (0.000, 0.000, 0.500)
Fe (0.000, 0.500, 0.000)
Fe (0.500, 0.000, 0.000)
Bi (0.500, 0.500, 0.500)
Br (0.000, 0.000, 0.000)

=====

The following is a PBE calculation of a geometry-optimized SrLu2Sc structure, from Alexandria via LeMat-Bulk.

Properties
Space group ... P4/mmm
Calculated formation energy ... 13.2 kJ/mol of atoms
Offset from the most stable computed form ... 0 meV/atom

a b c (Å): 3.826 3.826 9.139
angles (deg): 90.00 90.00 90.00
Positions (direct):
Sr (0.000, 0.000, 0.000)
Lu (0.500, 0.500, 0.309)
Lu (0.500, 0.500, 0.691)
Sc (0.000, 0.000, 0.500)

=====

The following is a PBE calculation of a geometry-optimized TiMnGa2 structure, from Alexandria via LeMat-Bulk.

Properties
Space group ... P4/mmm
Calculated formation energy ... -27.3 kJ/mol of atoms

a b c (Å): 2.781 2.781 7.543
angles (deg): 90.00 90.00 90.00
Positions (direct):
Ti (0.000, 0.000, 0.000)
Mn (0.000, 0.000, 0.500)
Ga (0.500, 0.500, 0.266)
Ga (0.500, 0.500, 0.734)

=====

The following is a PBE calculation of a geometry-optimized Hf4Mg2Ta structure, from Alexandria via LeMat-Bulk.

Properties
Space group ... Cmmm
Calculated formation energy ... 10.9 kJ/mol of atoms

a b c (Å): 16.463 16.463 3.093
angles (deg): 90.00 90.00 169.18
Positions (direct):
Hf (0.066, 0.934, 0.000)
Hf (0.367, 0.633, 0.500)
Hf (0.633, 0.367, 0.500)
Hf (0.934, 0.066, 0.000)
Mg (0.208, 0.792, 0.000)
Mg (0.792, 0.208, 0.000)
Ta (0.500, 0.500, 0.500)

=====

The following is a PBE calculation of a geometry-optimized SmPu3Fe structure, from Alexandria via LeMat-Bulk.

Properties
Space group ... Pm-3m
Calculated formation energy ... 22.9 kJ/mol of atoms

a b c (Å): 5.147 5.147 5.147
angles (deg): 90.00 90.00 90.00
Positions (direct):
Sm (0.000, 0.000, 0.000)
Pu (0.000, 0.500, 0.500)
Pu (0.500, 0.000, 0.500)
Pu (0.500, 0.500, 0.000)
Fe (0.500, 0.500, 0.500)

=====

The following is a PBE calculation of a geometry-optimized Re2NiTe structure, from Alexandria via LeMat-Bulk.

Properties
ΔE_f (raw) ... 717 meV per atom
Space group ... Pmmm

a b c (Å): 3.140 4.343 4.686
angles (deg): 90.00 90.00 90.00
Positions (direct):
Re (0.000, 0.000, 0.000)
Re (0.500, 0.500, 0.000)
Ni (0.000, 0.500, 0.500)
Te (0.500, 0.000, 0.500)

=====

The following is a PBE calculation of a geometry-optimized BaMg2As structure, from Alexandria via LeMat-Bulk.

Properties
Space group ... C2/m
Calculated formation energy ... -31.5 kJ/mol of atoms

a b c (Å): 6.666 6.666 5.668
angles (deg): 115.08 115.08 31.25
Positions (direct):
Ba (0.000, 0.000, 0.000)
Mg (0.195, 0.195, 0.695)
Mg (0.805, 0.805, 0.305)
As (0.500, 0.500, 0.500)

=====

The following is a PBE calculation of a geometry-optimized Sr2NiB10 structure, from Alexandria via LeMat-Bulk.

Properties
Space group ... Pbam
Calculated formation energy ... -35.9 kJ/mol of atoms

a b c (Å): 5.711 11.341 4.250
angles (deg): 90.00 90.00 90.00
Positions (direct):
Sr (0.192, 0.136, 0.000)
Sr (0.308, 0.636, 0.000)
Sr (0.692, 0.364, 0.000)
Sr (0.808, 0.864, 0.000)
Ni (0.000, 0.500, 0.500)
Ni (0.500, 0.000, 0.500)
B (0.033, 0.312, 0.500)
B (0.127, 0.957, 0.500)
B (0.162, 0.803, 0.500)
B (0.197, 0.388, 0.204)
B (0.197, 0.388, 0.796)
B (0.303, 0.888, 0.204)
B (0.303, 0.888, 0.796)
B (0.338, 0.303, 0.500)
B (0.373, 0.457, 0.500)
B (0.467, 0.812, 0.500)
B (0.533, 0.188, 0.500)
B (0.627, 0.543, 0.500)
B (0.662, 0.697, 0.500)
B (0.697, 0.112, 0.204)
B (0.697, 0.112, 0.796)
B (0.803, 0.612, 0.204)
B (0.803, 0.612, 0.796)
B (0.838, 0.197, 0.500)
B (0.873, 0.043, 0.500)
B (0.967, 0.688, 0.500)

=====

The following is a PBE calculation of a geometry-optimized CoAu3Br structure, from Alexandria via LeMat-Bulk.

Properties
ΔE_f (raw) ... 1511 meV per atom
Space group ... Pm-3m
Offset from the most stable computed form ... 712 meV/atom

a b c (Å): 5.108 5.108 5.108
angles (deg): 90.00 90.00 90.00
Positions (direct):
Co (0.000, 0.000, 0.000)
Au (0.000, 0.500, 0.500)
Au (0.500, 0.000, 0.500)
Au (0.500, 0.500, 0.000)
Br (0.500, 0.500, 0.500)

=====

The following is a PBE calculation of a geometry-optimized NaPm3Sm4S8 structure, from Alexandria via LeMat-Bulk.

Properties
ΔE_f (raw) ... -1972 meV per atom
Space group ... R-3m

a b c (Å): 8.043 8.043 8.043
angles (deg): 60.00 60.00 60.00
Positions (direct):
Na (0.000, 0.000, 0.000)
Pm (0.000, 0.500, 0.500)
Pm (0.500, 0.000, 0.500)
Pm (0.500, 0.500, 0.000)
Sm (0.000, 0.000, 0.500)
Sm (0.000, 0.500, 0.000)
Sm (0.500, 0.000, 0.000)
Sm (0.500, 0.500, 0.500)
S (0.248, 0.751, 0.751)
S (0.249, 0.249, 0.249)
S (0.249, 0.249, 0.752)
S (0.249, 0.752, 0.249)
S (0.751, 0.248, 0.751)
S (0.751, 0.751, 0.248)
S (0.751, 0.751, 0.751)
S (0.752, 0.249, 0.249)

=====

The following is a PBE calculation of a geometry-optimized Rb2YBr6Cl structure, from Alexandria via LeMat-Bulk.

Properties
ΔE_f (raw) ... -1345 meV per atom
Space group ... I4/mmm

a b c (Å): 8.181 8.181 8.181
angles (deg): 114.71 114.71 99.44
Positions (direct):
Rb (0.250, 0.750, 0.500)
Rb (0.750, 0.250, 0.500)
Y (0.000, 0.000, 0.000)
Br (0.221, 0.221, 0.442)
Br (0.221, 0.779, 0.000)
Br (0.273, 0.273, 0.000)
Br (0.727, 0.727, 0.000)
Br (0.779, 0.221, 0.000)
Br (0.779, 0.779, 0.558)
Cl (0.500, 0.500, 0.000)

=====

The following is a PBE calculation of a geometry-optimized Dy2Tl structure, from Alexandria via LeMat-Bulk.

Properties
Space group ... P6_3/mmc
Calculated formation energy ... -24.9 kJ/mol of atoms

a b c (Å): 5.409 5.409 6.729
angles (deg): 90.00 90.00 120.00
Positions (direct):
Dy (0.000, 0.000, 0.000)
Dy (0.000, 0.000, 0.500)
Dy (0.333, 0.667, 0.250)
Dy (0.667, 0.333, 0.750)
Tl (0.333, 0.667, 0.750)
Tl (0.667, 0.333, 0.250)

=====

The following is a PBE calculation of a geometry-optimized FeIrBr2 structure, from Alexandria via LeMat-Bulk.

Properties
ΔE_f (raw) ... 767 meV per atom
Space group ... R-3m
Offset from the most stable computed form ... 650 meV/atom

a b c (Å): 7.872 7.872 7.872
angles (deg): 24.61 24.61 24.61
Positions (direct):
Fe (0.000, 0.000, 0.000)
Ir (0.500, 0.500, 0.500)
Br (0.394, 0.394, 0.394)
Br (0.606, 0.606, 0.606)

=====

The following is a PBE calculation of a geometry-optimized GaBS2 structure, from Alexandria via LeMat-Bulk.

Properties
ΔE_f (raw) ... -177 meV per atom
Space group ... I-42d

a b c (Å): 5.712 5.712 5.712
angles (deg): 115.11 115.11 98.69
Positions (direct):
Ga (0.000, 0.000, 0.000)
Ga (0.750, 0.250, 0.500)
B (0.250, 0.750, 0.500)
B (0.500, 0.500, 0.000)
S (0.245, 0.625, 0.120)
S (0.375, 0.495, 0.620)
S (0.505, 0.125, 0.880)
S (0.875, 0.755, 0.380)

=====

The following is a PBE calculation of a geometry-optimized EuThSb2 structure, from Alexandria via LeMat-Bulk.

Properties
ΔE_f (raw) ... -1031 meV per atom
Space group ... R-3m
Offset from the most stable computed form ... 0 meV/atom

a b c (Å): 7.929 7.929 7.929
angles (deg): 33.45 33.45 33.45
Positions (direct):
Eu (0.000, 0.000, 0.000)
Th (0.500, 0.500, 0.500)
Sb (0.247, 0.247, 0.247)
Sb (0.753, 0.753, 0.753)

=====

The following is a PBE calculation of a geometry-optimized RbTeCl3 structure, from Alexandria via LeMat-Bulk.

Properties
ΔE_f (raw) ... -952 meV per atom
Space group ... Pm-3m
Offset from the most stable computed form ... 94 meV/atom

a b c (Å): 5.570 5.570 5.570
angles (deg): 90.00 90.00 90.00
Positions (direct):
Rb (0.000, 0.000, 0.000)
Te (0.500, 0.500, 0.500)
Cl (0.000, 0.500, 0.500)
Cl (0.500, 0.000, 0.500)
Cl (0.500, 0.500, 0.000)

=====

The following is a PBE calculation of a geometry-optimized CeErCdTc structure, from Alexandria via LeMat-Bulk.

Properties
Space group ... F-43m
Calculated formation energy ... -5.2 kJ/mol of atoms

a b c (Å): 5.060 5.060 5.060
angles (deg): 60.00 60.00 60.00
Positions (direct):
Ce (0.000, 0.000, 0.000)
Er (0.500, 0.500, 0.500)
Cd (0.750, 0.750, 0.750)
Tc (0.250, 0.250, 0.250)

=====

The following is a PBE calculation of a geometry-optimized Pr4AlSn2 structure, from Alexandria via LeMat-Bulk.

Properties
Space group ... R-3m
Calculated formation energy ... -36.9 kJ/mol of atoms

a b c (Å): 10.901 10.901 10.901
angles (deg): 27.16 27.16 27.16
Positions (direct):
Pr (0.124, 0.124, 0.124)
Pr (0.296, 0.296, 0.296)
Pr (0.704, 0.704, 0.704)
Pr (0.876, 0.876, 0.876)
Al (0.500, 0.500, 0.500)
Sn (0.406, 0.406, 0.406)
Sn (0.594, 0.594, 0.594)

=====

The following is a PBE calculation of a geometry-optimized ZrBe2Rh2 structure, from Alexandria via LeMat-Bulk.

Properties
Space group ... P4/mbm
Calculated formation energy ... -49.7 kJ/mol of atoms
Offset from the most stable computed form ... 104 meV/atom

a b c (Å): 6.892 6.892 2.832
angles (deg): 90.00 90.00 90.00
Positions (direct):
Zr (0.000, 0.000, 0.000)
Zr (0.500, 0.500, 0.000)
Be (0.140, 0.360, 0.500)
Be (0.360, 0.860, 0.500)
Be (0.640, 0.140, 0.500)
Be (0.860, 0.640, 0.500)
Rh (0.149, 0.649, 0.000)
Rh (0.351, 0.149, 0.000)
Rh (0.649, 0.851, 0.000)
Rh (0.851, 0.351, 0.000)

=====

| no. | ρ (g/cm3) |
| --- | --- |
| 1 | 9.927 |
| 2 | 5.706 |
| 3 | 7.016 |
| 4 | 0.827 |
| 5 | 3.913 |
| 6 | 6.224 |
| 7 | 7.987 |
| 8 | 5.988 |
| 9 | 6.897 |
| 10 | 9.960 |
| 11 | 11.423 |
| 12 | 14.518 |
| 13 | 3.693 |
| 14 | 4.127 |
| 15 | 9.093 |
| 16 | 5.940 |
| 17 | 3.122 |
| 18 | 10.314 |
| 19 | 9.105 |
| 20 | 3.437 |
| 21 | 7.726 |
| 22 | 3.069 |
| 23 | 9.383 |
| 24 | 5.776 |
| 25 | 7.778 |